No. 1
Density functional theory data (PBE-GGA) for a relaxed structure of LiCdPb.

Results
ΔH_f (0 K) ... -0.164 eV per atom
Total moment ... 0.00 μB per formula unit
Polymorph energy (0 for the lowest one) ... 0.000 eV/atom
Density of states at the Fermi level ... 0.146 states/eV per atom

Unit cell a=3.5710 b=3.5710 c=10.9278 alpha=90.00 beta=90.00 gamma=90.00
With the nearest neighbours (Å) after each atom.
Fractional coordinates of all 6 atoms:
1 Li 0.0000 0.0000 0.0000  4 Cd 2.94, 4 Pb 3.12
2 Li 0.5000 0.5000 0.5000  4 Cd 2.94, 4 Pb 3.12
3 Cd 0.0000 0.0000 0.3624  4 Li 2.94
4 Cd 0.5000 0.5000 0.8624  4 Li 2.94
5 Pb 0.0000 0.0000 0.6684  4 Li 3.12, 5 Cd 3.30-3.34
6 Pb 0.5000 0.5000 0.1684  4 Li 3.12, 5 Cd 3.30-3.34

=====

No. 2
Density functional theory data (PBE-GGA) for a relaxed structure of Li4CdPb10.

Results
ΔH_f (0 K) ... -0.029 eV per atom
Total moment ... 0.00 μB per formula unit
Density of states at the Fermi level ... 0.591 states/eV per atom

Unit cell a=8.5121 b=8.5121 c=8.5121 alpha=99.58 beta=99.58 gamma=131.85
With the nearest neighbours (Å) after each atom.
Fractional coordinates of all 15 atoms:
1 Li 0.1004 0.6981 0.7985  8 Pb 2.97-3.00
2 Li 0.3019 0.1004 0.4023  8 Pb 2.97-3.00
3 Li 0.6981 0.8996 0.5977  8 Pb 2.97-3.00
4 Li 0.8996 0.3019 0.2015  8 Pb 2.97-3.00
5 Cd 0.5000 0.5000 0.0000  8 Pb 3.11
6 Pb 0.0335 0.3426 0.8944  3 Li 2.97-3.00, 1 Cd 3.11
7 Pb 0.1391 0.0335 0.6908  3 Li 2.97-3.00, 1 Cd 3.11
8 Pb 0.2500 0.7500 0.5000  4 Li 3.00
9 Pb 0.3426 0.4483 0.3092  3 Li 2.97-3.00, 1 Cd 3.11
10 Pb 0.4483 0.1391 0.1056  3 Li 2.97-3.00, 1 Cd 3.11
11 Pb 0.5517 0.8609 0.8944  3 Li 2.97-3.00, 1 Cd 3.11
12 Pb 0.6574 0.5517 0.6908  3 Li 2.97-3.00, 1 Cd 3.11
13 Pb 0.7500 0.2500 0.5000  4 Li 3.00
14 Pb 0.8609 0.9665 0.3092  3 Li 2.97-3.00, 1 Cd 3.11
15 Pb 0.9665 0.6574 0.1056  3 Li 2.97-3.00, 1 Cd 3.11

=====

No. 3
Density functional theory data (PBE-GGA) for a relaxed structure of Li2Cd3Pb.

Results
ΔH_f (0 K) ... -0.151 eV per atom
Total moment ... 0.00 μB per formula unit
Polymorph energy (0 for the lowest one) ... 0.000 eV/atom
Density of states at the Fermi level ... 0.351 states/eV per atom

Unit cell a=6.9188 b=6.9188 c=9.7418 alpha=112.97 beta=112.97 gamma=37.69
With the nearest neighbours (Å) after each atom.
Fractional coordinates of all 12 atoms:
1 Li 0.0280 0.0280 0.3625  4 Cd 2.96-3.03, 3 Li 3.06-3.23, 4 Pb 3.16-3.17
2 Li 0.2954 0.2954 0.6429  4 Cd 2.93-3.02, 3 Pb 2.96-3.00, 2 Li 3.23
3 Li 0.7046 0.7046 0.3571  4 Cd 2.93-3.02, 3 Pb 2.96-3.00, 2 Li 3.23
4 Li 0.9720 0.9720 0.6375  4 Cd 2.96-3.03, 3 Li 3.06-3.23, 4 Pb 3.16-3.17
5 Cd 0.1180 0.1180 0.1289  3 Li 2.96-3.02, 8 Cd 3.04-3.24, 1 Pb 3.20
6 Cd 0.2099 0.2099 0.8775  2 Li 2.93-3.03, 8 Cd 3.12-3.22, 2 Pb 3.26
7 Cd 0.4621 0.4621 0.1349  3 Li 3.01-3.02, 8 Cd 3.04-3.24, 1 Pb 3.22
8 Cd 0.5379 0.5379 0.8651  3 Li 3.01-3.02, 8 Cd 3.04-3.24, 1 Pb 3.22
9 Cd 0.7901 0.7901 0.1225  2 Li 2.93-3.03, 8 Cd 3.12-3.22, 2 Pb 3.26
10 Cd 0.8820 0.8820 0.8711  3 Li 2.96-3.02, 8 Cd 3.04-3.24, 1 Pb 3.20
11 Pb 0.3659 0.3659 0.3904  7 Li 2.96-3.17, 4 Cd 3.20-3.26, 1 Pb 3.27
12 Pb 0.6341 0.6341 0.6096  7 Li 2.96-3.17, 4 Cd 3.20-3.26, 1 Pb 3.27

=====

No. 4
Density functional theory data (PBE-GGA) for a relaxed structure of Li5CdPb4.

Results
ΔH_f (0 K) ... -0.254 eV per atom
Total moment ... 0.00 μB per formula unit
Density of states at the Fermi level ... 0.485 states/eV per atom

Unit cell a=3.5770 b=3.5770 c=17.0489 alpha=90.00 beta=90.00 gamma=90.00
With the nearest neighbours (Å) after each atom.
Fractional coordinates of all 10 atoms:
1 Li 0.0000 0.0000 0.0000  8 Pb 3.07
2 Li 0.0000 0.0000 0.2055  8 Pb 3.09, 1 Li 3.45
3 Li 0.0000 0.0000 0.4076  4 Cd 2.98, 4 Pb 3.03, 1 Li 3.15
4 Li 0.0000 0.0000 0.5924  4 Cd 2.98, 4 Pb 3.03, 1 Li 3.15
5 Li 0.0000 0.0000 0.7945  8 Pb 3.09, 1 Li 3.45
6 Cd 0.5000 0.5000 0.5000  8 Li 2.98, 2 Pb 3.24
7 Pb 0.5000 0.5000 0.1019  8 Li 3.07-3.09
8 Pb 0.5000 0.5000 0.3098  8 Li 3.03-3.09, 1 Cd 3.24
9 Pb 0.5000 0.5000 0.6902  8 Li 3.03-3.09, 1 Cd 3.24
10 Pb 0.5000 0.5000 0.8981  8 Li 3.07-3.09

=====

No. 5
Density functional theory data (PBE-GGA) for a relaxed structure of Li3Cd2Pb3.

Results
ΔH_f (0 K) ... -0.176 eV per atom
Total moment ... 0.00 μB per formula unit
Density of states at the Fermi level ... 0.431 states/eV per atom

Unit cell a=4.2923 b=4.5439 c=19.0416 alpha=90.00 beta=90.00 gamma=90.00
With the nearest neighbours (Å) after each atom.
Fractional coordinates of all 16 atoms:
1 Li 0.0000 0.0000 0.0000  8 Pb 3.13-3.22, 4 Li 3.36
2 Li 0.0000 0.5000 0.1302  6 Pb 3.13-3.28, 4 Cd 3.14-3.21, 2 Li 3.36
3 Li 0.0000 0.5000 0.8698  6 Pb 3.13-3.28, 4 Cd 3.14-3.21, 2 Li 3.36
4 Li 0.5000 0.0000 0.3698  6 Pb 3.13-3.28, 4 Cd 3.14-3.21, 2 Li 3.36
5 Li 0.5000 0.0000 0.6302  6 Pb 3.13-3.28, 4 Cd 3.14-3.21, 2 Li 3.36
6 Li 0.5000 0.5000 0.5000  8 Pb 3.13-3.22, 4 Li 3.36
7 Cd 0.0000 0.0000 0.2493  4 Cd 3.13, 4 Li 3.14-3.21, 4 Pb 3.18-3.29
8 Cd 0.0000 0.0000 0.7507  4 Cd 3.13, 4 Li 3.14-3.21, 4 Pb 3.18-3.29
9 Cd 0.5000 0.5000 0.2507  4 Cd 3.13, 4 Li 3.14-3.21, 4 Pb 3.18-3.29
10 Cd 0.5000 0.5000 0.7493  4 Cd 3.13, 4 Li 3.14-3.21, 4 Pb 3.18-3.29
11 Pb 0.0000 0.0000 0.5000  8 Li 3.13-3.28, 4 Pb 3.30
12 Pb 0.0000 0.5000 0.3741  6 Li 3.13-3.22, 4 Cd 3.18-3.29, 2 Pb 3.30
13 Pb 0.0000 0.5000 0.6259  6 Li 3.13-3.22, 4 Cd 3.18-3.29, 2 Pb 3.30
14 Pb 0.5000 0.0000 0.1259  6 Li 3.13-3.22, 4 Cd 3.18-3.29, 2 Pb 3.30
15 Pb 0.5000 0.0000 0.8741  6 Li 3.13-3.22, 4 Cd 3.18-3.29, 2 Pb 3.30
16 Pb 0.5000 0.5000 0.0000  8 Li 3.13-3.28, 4 Pb 3.30

=====

No. 6
Density functional theory data (PBE-GGA) for a relaxed structure of Li12Cd5Pb2.

Results
ΔH_f (0 K) ... -0.189 eV per atom
Total moment ... 0.00 μB per formula unit
Density of states at the Fermi level ... 0.213 states/eV per atom

Unit cell a=7.8822 b=7.8822 c=7.0719 alpha=91.58 beta=91.58 gamma=58.15
With the nearest neighbours (Å) after each atom.
Fractional coordinates of all 19 atoms:
1 Li 0.0555 0.0555 0.2071  6 Li 2.78-3.04, 2 Pb 2.98, 2 Cd 3.01-3.03
2 Li 0.1106 0.6711 0.1316  4 Cd 2.80-2.95, 4 Li 2.84-3.04, 1 Pb 2.98
3 Li 0.1172 0.5367 0.7303  3 Li 2.78-2.99, 4 Cd 2.86-3.09, 1 Pb 2.94
4 Li 0.3289 0.8894 0.8684  4 Cd 2.80-2.95, 4 Li 2.84-3.04, 1 Pb 2.98
5 Li 0.3486 0.3486 0.3790  2 Cd 2.79-2.82, 4 Li 2.84-2.98, 2 Pb 2.90
6 Li 0.4633 0.8828 0.2697  3 Li 2.78-2.99, 4 Cd 2.86-3.09, 1 Pb 2.94
7 Li 0.5367 0.1172 0.7303  3 Li 2.78-2.99, 4 Cd 2.86-3.09, 1 Pb 2.94
8 Li 0.6514 0.6514 0.6210  2 Cd 2.79-2.82, 4 Li 2.84-2.98, 2 Pb 2.90
9 Li 0.6711 0.1106 0.1316  4 Cd 2.80-2.95, 4 Li 2.84-3.04, 1 Pb 2.98
10 Li 0.8828 0.4633 0.2697  3 Li 2.78-2.99, 4 Cd 2.86-3.09, 1 Pb 2.94
11 Li 0.8894 0.3289 0.8684  4 Cd 2.80-2.95, 4 Li 2.84-3.04, 1 Pb 2.98
12 Li 0.9445 0.9445 0.7929  6 Li 2.78-3.04, 2 Pb 2.98, 2 Cd 3.01-3.03
13 Cd 0.1732 0.1732 0.5725  8 Li 2.82-3.09, 2 Pb 3.13
14 Cd 0.2524 0.2524 0.0266  10 Li 2.79-3.04
15 Cd 0.5000 0.5000 0.0000  4 Li 2.80
16 Cd 0.7476 0.7476 0.9734  10 Li 2.79-3.04
17 Cd 0.8268 0.8268 0.4275  8 Li 2.82-3.09, 2 Pb 3.13
18 Pb 0.2579 0.7421 0.5000  8 Li 2.90-2.98, 2 Cd 3.13
19 Pb 0.7421 0.2579 0.5000  8 Li 2.90-2.98, 2 Cd 3.13